Entry 1:
Material: Ho3Ge2Rh6
Method: DFT, PBE
State: relaxed

a b c (Å): 8.0308 8.0308 8.0308
angles (deg): 109.47 109.47 109.47
Last column: nearest neighbours and their distance in Å.
Fractional coordinates of all 22 atoms:
Ho  0.0000  0.2872  0.2872  4 Rh 2.84
Rh  0.6560  0.3120  0.6560  2 Ge 2.63, 6 Rh 2.69-2.89, 2 Ho 2.84
Ge  0.0000  0.5000  0.0000  6 Rh 2.63
Ge  0.5000  0.0000  0.0000  6 Rh 2.63
Ho  0.7128  0.0000  0.7128  4 Rh 2.84
Rh  0.6560  0.3440  0.0000  2 Ge 2.63, 6 Rh 2.69-2.89, 2 Ho 2.84
Rh  0.3120  0.6560  0.6560  2 Ge 2.63, 6 Rh 2.69-2.89, 2 Ho 2.84
Rh  0.6880  0.3440  0.3440  2 Ge 2.63, 6 Rh 2.69-2.89, 2 Ho 2.84
Rh  0.3440  0.6880  0.3440  2 Ge 2.63, 6 Rh 2.69-2.89, 2 Ho 2.84
Rh  0.0000  0.6560  0.3440  2 Ge 2.63, 6 Rh 2.69-2.89, 2 Ho 2.84
Ge  0.5000  0.5000  0.5000  6 Rh 2.63
Rh  0.3440  0.6560  0.0000  2 Ge 2.63, 6 Rh 2.69-2.89, 2 Ho 2.84
Ge  0.0000  0.0000  0.5000  6 Rh 2.63
Rh  0.6560  0.0000  0.3440  2 Ge 2.63, 6 Rh 2.69-2.89, 2 Ho 2.84
Ho  0.0000  0.7128  0.7128  4 Rh 2.84
Ho  0.2872  0.0000  0.2872  4 Rh 2.84
Rh  0.3440  0.0000  0.6560  2 Ge 2.63, 6 Rh 2.69-2.89, 2 Ho 2.84
Ho  0.7128  0.7128  0.0000  4 Rh 2.84
Rh  0.0000  0.3440  0.6560  2 Ge 2.63, 6 Rh 2.69-2.89, 2 Ho 2.84
Rh  0.6560  0.6560  0.3120  2 Ge 2.63, 6 Rh 2.69-2.89, 2 Ho 2.84
Rh  0.3440  0.3440  0.6880  2 Ge 2.63, 6 Rh 2.69-2.89, 2 Ho 2.84
Ho  0.2872  0.2872  0.0000  4 Rh 2.84

Values from the calculation:
Energy relative to the elements, meV per atom: -725.6
DFT total energy, eV for the cell shown: -150.118



Entry 2:
Material: Ca2MnCd
Method: DFT, PBE
State: relaxed

a b c (Å): 4.8683 3.9005 6.2913
angles (deg): 71.96 90.00 90.00
Last column: nearest neighbours and their distance in Å.
Fractional coordinates of all 4 atoms:
Cd  0.0000  0.6879  0.4984  2 Mn 2.86
Ca  0.5000  0.2772  0.3200  3 Mn 3.23-3.41, 4 Cd 3.30
Mn  0.5000  0.5628  0.7505  2 Cd 2.86
Ca  0.0000  0.9722  0.9310  3 Cd 3.24-3.39, 4 Mn 3.30

Values from the calculation:
Energy relative to the elements, meV per atom: 108.6
DFT total energy, eV for the cell shown: -13.653



Entry 3:
Material: Tb3HoSc6
Method: DFT, PBE
State: relaxed

a b c (Å): 5.8527 10.4126 10.4126
angles (deg): 119.44 90.00 90.00
Last column: nearest neighbours and their distance in Å.
Fractional coordinates of all 20 atoms:
Tb  0.9678  0.7195  0.9302  6 Sc 3.12-3.44, 1 Ho 3.21, 1 Tb 3.45
Sc  0.8627  0.4580  0.0287  2 Ho 3.09-3.23, 2 Tb 3.12-3.40, 5 Sc 3.13-3.19
Ho  0.6590  0.7883  0.2117  7 Sc 3.09-3.36, 3 Tb 3.21-3.37
Tb  0.5598  0.6037  0.3963  5 Sc 3.16-3.33, 1 Ho 3.37, 2 Tb 3.45
Sc  0.3627  0.0287  0.4580  2 Ho 3.09-3.23, 2 Tb 3.12-3.40, 5 Sc 3.13-3.19
Tb  0.4678  0.2805  0.0698  6 Sc 3.12-3.44, 1 Ho 3.21, 1 Tb 3.45
Sc  0.0186  0.3865  0.2808  6 Sc 3.19-3.54, 4 Tb 3.25-3.33
Sc  0.6352  0.2882  0.7118  2 Ho 3.11-3.36, 6 Sc 3.13-3.42, 1 Tb 3.16
Sc  0.4334  0.9514  0.0486  1 Ho 3.22, 4 Tb 3.33-3.44, 4 Sc 3.41-3.54
Sc  0.0186  0.7192  0.6135  6 Sc 3.19-3.54, 4 Tb 3.25-3.33
Tb  0.0598  0.3963  0.6037  5 Sc 3.16-3.33, 1 Ho 3.37, 2 Tb 3.45
Ho  0.1590  0.2117  0.7883  7 Sc 3.09-3.36, 3 Tb 3.21-3.37
Sc  0.3627  0.5420  0.9713  2 Ho 3.09-3.23, 2 Tb 3.12-3.40, 5 Sc 3.13-3.19
Sc  0.5186  0.2808  0.3865  6 Sc 3.19-3.54, 4 Tb 3.25-3.33
Sc  0.9334  0.0486  0.9514  1 Ho 3.22, 4 Tb 3.33-3.44, 4 Sc 3.41-3.54
Sc  0.1352  0.7118  0.2882  2 Ho 3.11-3.36, 6 Sc 3.13-3.42, 1 Tb 3.16
Sc  0.8627  0.9713  0.5420  2 Ho 3.09-3.23, 2 Tb 3.12-3.40, 5 Sc 3.13-3.19
Sc  0.5186  0.6135  0.7192  6 Sc 3.19-3.54, 4 Tb 3.25-3.33
Tb  0.4678  0.9302  0.7195  6 Sc 3.12-3.44, 1 Ho 3.21, 1 Tb 3.45
Tb  0.9678  0.0698  0.2805  6 Sc 3.12-3.44, 1 Ho 3.21, 1 Tb 3.45

Values from the calculation:
Energy relative to the elements, meV per atom: 159.3
DFT total energy, eV for the cell shown: -109.730



Question: Look up the energy relative to the elements of the third one.
Answer: 159.3 meV per atom